VASP calculation (PBE) on HfTe4Au3 after structural relaxation.

Total magnetization = 0.000 μB per formula unit
ΔE_f (raw) = -0.361 eV/atom
Calculated density = 8.5 g/cm³
SG = P-43m
Density of states at the Fermi level = 7.28 states/eV/cell

a = 6.303 Å, b = 6.303 Å, c = 6.303 Å
α = 90.00°, β = 90.00°, γ = 90.00°
Atoms (fractional coordinates):
1 Hf 0.000 0.000 0.000
2 Te 0.260 0.260 0.260
3 Te 0.260 0.740 0.740
4 Te 0.740 0.260 0.740
5 Te 0.740 0.740 0.260
6 Au 0.000 0.000 0.500
7 Au 0.000 0.500 0.000
8 Au 0.500 0.000 0.000